Record 1
AgRu2Pt | Alexandria via LeMat-Bulk | GGA-PBEsol | optimized geometry; D(E_F) = 4.62 states/eV/f.u.; formation energy = 0.39 eV/atom; symmetry = Pmmm (47); crystal system = orthorhombic; DFT total energy = -7.27 eV/atom
1.0
-0.1236 -1.2612 -2.3452
2.2680 -2.9110 1.4459
-4.4836 -2.6643 1.6690
Ag Pt Ru
1 1 2
Cartesian
1.0722 -2.0861 -0.4497 Ag
-1.1696 -3.4182 0.3849 Pt
-3.3043 -1.9636 1.2301 Ru
-1.1793 -0.7008 0.4390 Ru

Record 2
Ag2RuPt | Alexandria via LeMat-Bulk | GGA-PBEsol | optimized geometry; D(E_F) = 5.92 states/eV/f.u.; formation energy = 0.57 eV/atom; symmetry = P4/mmm (123); energy above the most stable polymorph in this dataset = 131 meV/atom; crystal system = tetragonal; DFT total energy = -5.37 eV/atom
1.0
2.7071 0.0000 0.0000
0.0000 4.7843 0.0000
0.0000 0.0000 4.7843
Ag Pt Ru
2 1 1
Cartesian
0.0000 0.0000 2.3922 Ag
0.0000 2.3922 0.0000 Ag
1.3535 2.3922 2.3922 Pt
1.3535 0.0000 0.0000 Ru

Record 3
AgRuPt | Alexandria via LeMat-Bulk | GGA-PBEsol | optimized geometry; D(E_F) = 2.64 states/eV/f.u.; formation energy = 0.21 eV/atom; symmetry = P3m1 (156); energy above the most stable polymorph in this dataset = 0 meV/atom; crystal system = trigonal; DFT total energy = -6.60 eV/atom
1.0
2.7312 0.0000 0.0000
-1.3656 2.3653 0.0000
0.0000 0.0000 6.8861
Ag Pt Ru
1 1 1
Cartesian
0.0000 0.0000 0.0204 Ag
0.0000 1.5768 4.5022 Pt
1.3656 0.7884 2.3635 Ru

Record 4
Ag2RuPt | Alexandria via LeMat-Bulk | GGA-PBEsol | optimized geometry; D(E_F) = 3.95 states/eV/f.u.; formation energy = 0.44 eV/atom; symmetry = I4/mmm (139); energy above the most stable polymorph in this dataset = 0 meV/atom; crystal system = tetragonal; DFT total energy = -5.50 eV/atom
1.0
3.8508 0.0000 0.0000
0.0000 3.8508 0.0000
-1.9254 -1.9254 4.1713
Ag Pt Ru
2 1 1
Cartesian
1.9254 0.0000 2.0857 Ag
0.0000 1.9254 2.0857 Ag
1.9254 1.9254 0.0000 Pt
0.0000 0.0000 0.0000 Ru